Record 1
DFT (PBE) results for a geometry-optimized Ac2TlPt2 structure.

a = 8.2390 Å, b = 8.2390 Å, c = 4.0397 Å
α = 90.00°, β = 90.00°, γ = 90.00°
Last column: nearest neighbours and their distance in Å.
Fractional positions:
Ac 0.3269 0.1731 0.5000  6 Pt 3.09-3.21
Ac 0.8269 0.3269 0.5000  6 Pt 3.09-3.21
Ac 0.1731 0.6731 0.5000  6 Pt 3.09-3.21
Ac 0.6731 0.8269 0.5000  6 Pt 3.09-3.21
Pt 0.6263 0.1263 0.0000  1 Pt 2.94, 6 Ac 3.09-3.21, 2 Tl 3.25
Pt 0.1263 0.3737 0.0000  1 Pt 2.94, 6 Ac 3.09-3.21, 2 Tl 3.25
Pt 0.8737 0.6263 0.0000  1 Pt 2.94, 6 Ac 3.09-3.21, 2 Tl 3.25
Pt 0.3737 0.8737 0.0000  1 Pt 2.94, 6 Ac 3.09-3.21, 2 Tl 3.25
Tl 0.0000 0.0000 0.0000  4 Pt 3.25
Tl 0.5000 0.5000 0.0000  4 Pt 3.25

Results
uncorrected energy = -55.0 eV per cell
V = 274 Å³ per cell
density = 12.70 g cm⁻³

***

Record 2
DFT (PBE) results for a geometry-optimized AcUPt structure.

a = 5.0681 Å, b = 5.0681 Å, c = 5.0681 Å
α = 60.00°, β = 60.00°, γ = 60.00°
Last column: nearest neighbours and their distance in Å.
Fractional positions:
Ac 0.2500 0.2500 0.2500  4 Pt 3.10
Pt 0.0000 0.0000 0.0000  4 U 3.10, 4 Ac 3.10
U 0.7500 0.7500 0.7500  4 Pt 3.10

Results
energy of formation from the pure elements = -29 meV/atom
V = 92 Å³ per cell
offset from the most stable computed form = 0.000 eV/atom
density = 11.91 g cm⁻³

***

Record 3
DFT (PBE) results for a geometry-optimized AcPtW structure.

a = 4.8706 Å, b = 4.8706 Å, c = 4.8706 Å
α = 60.00°, β = 60.00°, γ = 60.00°
Last column: nearest neighbours and their distance in Å.
Fractional positions:
Ac 0.2500 0.2500 0.2500  4 Pt 2.98
Pt 0.0000 0.0000 0.0000  4 W 2.98, 4 Ac 2.98
W 0.7500 0.7500 0.7500  4 Pt 2.98

Results
energy of formation from the pure elements = 684 meV/atom
V = 82 Å³ per cell
offset from the most stable computed form = 0.000 eV/atom
density = 12.31 g cm⁻³

***

Record 4
DFT (PBE) results for a geometry-optimized AcPtW structure.

a = 4.8703 Å, b = 4.8703 Å, c = 4.8703 Å
α = 60.00°, β = 60.00°, γ = 60.00°
Last column: nearest neighbours and their distance in Å.
Fractional positions:
Ac 0.0000 0.0000 0.0000  4 W 2.98, 4 Pt 2.98
Pt 0.2500 0.2500 0.2500  4 Ac 2.98
W 0.7500 0.7500 0.7500  4 Ac 2.98

Results
energy of formation from the pure elements = 1399 meV/atom
V = 82 Å³ per cell
offset from the most stable computed form = 0.716 eV/atom
density = 12.32 g cm⁻³

***

Record 5
DFT (PBE) results for a geometry-optimized AcZn2Pt2 structure.

a = 6.6522 Å, b = 6.6522 Å, c = 6.6522 Å
α = 143.48°, β = 143.48°, γ = 52.60°
Last column: nearest neighbours and their distance in Å.
Fractional positions:
Ac 0.0000 0.0000 0.0000  8 Pt 3.26, 8 Zn 3.64
Pt 0.3835 0.3835 0.0000  4 Zn 2.62, 1 Pt 2.78
Pt 0.6165 0.6165 0.0000  4 Zn 2.62, 1 Pt 2.78
Zn 0.7500 0.2500 0.5000  4 Pt 2.62
Zn 0.2500 0.7500 0.5000  4 Pt 2.62

Results
energy of formation from the pure elements = -822 meV/atom
V = 104 Å³ per cell
density = 11.99 g cm⁻³

***

Record 6
DFT (PBE) results for a geometry-optimized Ac3ZnPt8 structure.

a = 9.6606 Å, b = 9.6606 Å, c = 9.6606 Å
α = 33.77°, β = 33.77°, γ = 33.77°
Last column: nearest neighbours and their distance in Å.
Fractional positions:
Ac 0.0113 0.0113 0.0113  9 Pt 3.11-3.37
Ac 0.4908 0.4908 0.4908  12 Pt 3.11-3.39, 3 Zn 3.26
Ac 0.6212 0.6212 0.6212  12 Pt 3.26-3.30, 4 Ac 3.56-3.59
Pt 0.5621 0.5621 0.0568  6 Pt 2.76-2.84
Pt 0.5615 0.0596 0.0596  1 Zn 2.76, 6 Pt 2.80-2.82
Pt 0.0596 0.5615 0.0596  1 Zn 2.76, 6 Pt 2.80-2.82
Pt 0.3104 0.3104 0.3104  6 Pt 2.80
Pt 0.0596 0.0596 0.5615  1 Zn 2.76, 6 Pt 2.80-2.82
Pt 0.5621 0.0568 0.5621  6 Pt 2.76-2.84
Pt 0.0568 0.5621 0.5621  6 Pt 2.76-2.84
Pt 0.8095 0.8095 0.8095  6 Pt 2.76-2.81
Zn 0.1451 0.1451 0.1451  3 Pt 2.76

Results
energy of formation from the pure elements = -903 meV/atom
V = 248 Å³ per cell
density = 15.44 g cm⁻³